No. 1
Sm2Ho7Sc3, relaxed, DFT PBE; calculated volume = 365.9 Å³ per cell; energy of formation = 150 meV per atom
1.0
2.824 -18.391 0.000
2.824 18.391 0.000
0.000 0.000 3.523
Sm Ho Sc
2 7 3
direct
0.175 0.825 0.000
0.825 0.175 0.000
0.000 0.000 0.000
0.089 0.911 0.500
0.273 0.727 0.000
0.430 0.570 0.000
0.570 0.430 0.000
0.727 0.273 0.000
0.911 0.089 0.500
0.352 0.648 0.500
0.500 0.500 0.500
0.648 0.352 0.500

No. 2
Sm11Ho9Sc4, relaxed, DFT PBE; calculated volume = 754.5 Å³ per cell; energy of formation = 48 meV per atom
1.0
8.352 -12.644 0.000
8.352 12.644 0.000
0.000 0.000 3.572
Sm Ho Sc
11 9 4
direct
0.000 0.000 0.000
0.046 0.406 0.000
0.160 0.840 0.000
0.298 0.298 0.000
0.370 0.630 0.000
0.406 0.046 0.000
0.594 0.954 0.000
0.630 0.370 0.000
0.702 0.702 0.000
0.840 0.160 0.000
0.954 0.594 0.000
0.073 0.217 0.500
0.167 0.628 0.500
0.217 0.073 0.500
0.372 0.833 0.500
0.500 0.500 0.500
0.628 0.167 0.500
0.783 0.927 0.500
0.833 0.372 0.500
0.927 0.783 0.500
0.241 0.446 0.500
0.446 0.241 0.500
0.554 0.759 0.500
0.759 0.554 0.500

No. 3
Sm4Ho4Sc, relaxed, DFT PBE; calculated volume = 283.2 Å³ per cell; energy of formation = 33 meV per atom
1.0
-5.318 5.318 2.504
5.318 -5.318 2.504
5.318 5.318 -2.504
Sm Ho Sc
4 4 1
direct
0.000 0.330 0.330
0.000 0.670 0.670
0.330 0.000 0.330
0.670 0.000 0.670
0.336 0.336 0.672
0.336 0.664 0.000
0.664 0.336 0.000
0.664 0.664 0.328
0.000 0.000 0.000

- The lowest energy of formation belongs to which entry?
  Sm4Ho4Sc